DFT (PBE) results for a relaxed structure of Sm4Ho3Tm.

Geometry as extended XYZ:
```
16
Lattice="11.4030 0.0000 0.0000 0.0000 7.2856 0.0000 0.0000 0.0000 6.2863" Properties=species:S:1:pos:R:3 pbc="T T T"
Sm 0.0000 0.9267 0.0000
Sm 0.0000 6.3584 3.1266
Sm 2.8387 6.3556 5.2372
Sm 2.8629 0.9299 2.0941
Sm 5.7015 0.9271 6.2698
Sm 5.7015 6.3589 3.1432
Sm 8.5402 0.9299 2.0941
Sm 8.5644 6.3556 5.2372
Ho 0.0000 2.7496 3.1395
Ho 2.8511 2.7544 5.2292
Ho 2.8504 4.5312 2.0860
Ho 5.7015 4.5359 6.2827
Ho 8.5519 2.7544 5.2292
Ho 8.5527 4.5312 2.0860
Tm 0.0000 4.5272 6.2798
Tm 5.7015 2.7584 3.1367
```

Output
Electronic total energy ... -73.8 eV per cell

=====

DFT (PBE) results for a relaxed structure of Mn2ReCl2.

Geometry as extended XYZ:
```
10
Lattice="6.9426 0.0000 0.0000 0.0000 6.9426 0.0000 0.0000 0.0000 2.7422" Properties=species:S:1:pos:R:3 pbc="T T T"
Mn 1.2536 2.2177 0.0000
Mn 2.2177 5.6890 0.0000
Mn 4.7249 1.2536 0.0000
Mn 5.6890 4.7249 0.0000
Re 0.0000 0.0000 1.3711
Re 3.4713 3.4713 1.3711
Cl 0.9714 4.4427 1.3711
Cl 2.4999 0.9714 1.3711
Cl 4.4427 5.9712 1.3711
Cl 5.9712 2.4999 1.3711
```

Output
Electronic total energy ... -58.0 eV per cell
Formation energy (no corrections) ... 1.10 eV per atom